Entry 1:
This record from the Alexandria database describes a relaxed structure of Sm7PBr12. The functional is GGA-PBE.

E_form (uncorrected) = -1734 meV/atom
magnetization = 0.0 μB per formula unit
total DFT energy (no corrections) = -93.21 eV per formula unit

Cell: 15.0381 15.0381 10.0851 Å, 90.00 90.00 120.00°
Space group R-3 (No. 148, hexagonal axes)
Unique sites:
Sm: 0.0000 0.0000 0.0000 (multiplicity 3)
Sm: 0.0450 0.1650 0.3495 (multiplicity 18)
P: 0.0000 0.0000 0.5000 (multiplicity 3)
Br: 0.0235 0.5862 0.1634 (multiplicity 18)
Br: 0.0489 0.1790 0.8379 (multiplicity 18)

Entry 2:
This record from the Alexandria database describes a relaxed structure of Sm3PBr3. The functional is GGA-PBE.

E_form (uncorrected) = -1600 meV/atom
magnetization = 0.0 μB per formula unit
total DFT energy (no corrections) = -35.79 eV per formula unit

Cell: 8.6090 4.0916 11.7679 Å, 90.00 90.15 90.00°
Space group P2_1/m (No. 11)
Unique sites:
Sm: 0.0948 0.2500 0.1163 (multiplicity 2)
Sm: 0.1238 0.2500 0.6503 (multiplicity 2)
Sm: 0.3355 0.7500 0.8718 (multiplicity 2)
P: 0.1225 0.2500 0.8818 (multiplicity 2)
Br: 0.1287 0.2500 0.3815 (multiplicity 2)
Br: 0.3679 0.7500 0.6217 (multiplicity 2)
Br: 0.3819 0.7500 0.1313 (multiplicity 2)

Entry 3:
This record from the Alexandria database describes a relaxed structure of SmPBr. The functional is GGA-PBE.

E_form (uncorrected) = -1400 meV/atom
magnetization = 0.0 μB per formula unit
total DFT energy (no corrections) = -16.00 eV per formula unit
energy above the lowest structure with this stoichiometry = 0.016 eV per atom

Cell: 7.0715 14.0720 3.9373 Å, 90.00 123.68 90.00°
Space group C2/m (No. 12)
Unique sites:
Sm: 0.0000 0.1275 0.0000 (multiplicity 4)
P: 0.1905 0.0000 0.7108 (multiplicity 4)
Br: 0.0000 0.2921 0.5000 (multiplicity 4)

Repeat the first record exactly.
This record from the Alexandria database describes a relaxed structure of Sm7PBr12. The functional is GGA-PBE.

E_form (uncorrected) = -1734 meV/atom
magnetization = 0.0 μB per formula unit
total DFT energy (no corrections) = -93.21 eV per formula unit

Cell: 15.0381 15.0381 10.0851 Å, 90.00 90.00 120.00°
Space group R-3 (No. 148, hexagonal axes)
Unique sites:
Sm: 0.0000 0.0000 0.0000 (multiplicity 3)
Sm: 0.0450 0.1650 0.3495 (multiplicity 18)
P: 0.0000 0.0000 0.5000 (multiplicity 3)
Br: 0.0235 0.5862 0.1634 (multiplicity 18)
Br: 0.0489 0.1790 0.8379 (multiplicity 18)

Question: Among the records above, which one has the lowest E_form (uncorrected)?
Answer: Sm7PBr12